Record 1
10
Lattice="-1.6243 -1.8946 5.4290 1.5230 -4.1506 -4.0193 4.5920 3.1342 0.7812" Properties=species:S:1:pos:R:3 comment="PuNb2C2 PBE optimized geometry" spacegroup="No. 15" volume_a3_per_atom=15.14 delta_e_f_mev_per_atom=-119.9 pbc="T T T"
C 3.9025 -2.5663 0.0387
Pu 1.3790 -0.9115 -0.2219
Nb -0.3223 -2.2465 2.0997
C 0.5882 -0.3446 2.1522
Pu 3.1116 -1.9994 2.4128
Nb 1.3530 -0.2345 4.3537
Nb 4.8130 -0.6644 0.0912
C 1.0572 -3.7397 1.2970
Nb 3.1376 -2.6764 -2.1627
C 3.4335 0.8288 0.8939

=====

Record 2
12
Lattice="5.4834 0.0000 0.0000 2.7417 4.7488 0.0000 2.7417 1.5829 8.8984" Properties=species:S:1:pos:R:3 comment="Ca3BiPd8 PBE optimized geometry" spacegroup="No. 160" volume_a3_per_atom=19.31 delta_e_f_mev_per_atom=-568.1 pbc="T T T"
Pd 5.4834 4.7453 1.6285
Bi 8.2251 4.7488 3.5296
Pd 8.2251 3.1577 6.1082
Ca 5.4834 3.1658 7.7755
Ca 8.2251 4.7488 0.1265
Ca 5.4834 3.1658 4.3628
Pd 4.1156 2.3761 1.6285
Pd 6.8512 2.3761 1.6285
Pd 9.6030 5.5443 6.1082
Pd 6.8472 5.5443 6.1082
Pd 8.2251 4.7488 8.3090
Pd 2.7417 1.5829 3.8520

=====

Record 3
6
Lattice="4.8277 0.0000 0.0000 0.0000 4.8277 0.0000 -2.4138 -2.4138 5.7001" Properties=species:S:1:pos:R:3 comment="AcZn2PdPt2 PBE optimized geometry" spacegroup="No. 139" volume_a3_per_atom=22.14 delta_e_f_mev_per_atom=-358.2 pbc="T T T"
Zn 0.0000 0.0000 2.3972
Pt 0.0000 2.4138 2.8500
Pt 2.4138 0.0000 2.8500
Zn 2.4138 2.4138 3.3029
Pd 0.0000 0.0000 0.0000
Ac 2.4138 2.4138 0.0000

=====

Record 4
5
Lattice="5.3534 0.0000 0.0000 0.0000 5.3534 0.0000 0.0000 0.0000 3.7884" Properties=species:S:1:pos:R:3 comment="Sr2NiRhN PBE optimized geometry" spacegroup="No. 123" volume_a3_per_atom=21.71 de_polymorph_kj_per_mol_atoms=6.5 e_form_raw_ev_per_atom=-0.221 pbc="T T T"
Sr 2.6767 0.0000 0.0000
Sr 0.0000 2.6767 0.0000
Ni 2.6767 2.6767 1.8942
Rh 0.0000 0.0000 1.8942
N 0.0000 0.0000 0.0000

=====

Theoretical density per entry: 9.95 8.46 10.68 5.37 g/cm3